The following is a DFT calculation (PBE with a Hubbard U) of a relaxed Dy2MoO6 crystal.

Computed properties:
**SG**: No. 136
**Uncorrected energy**: -7.820 eV/atom

a = 5.0082 Å, b = 5.0082 Å, c = 9.9812 Å
α = 90.00°, β = 90.00°, γ = 90.00°
With the nearest neighbours (Å) after each atom.
Positions (direct):
1 Dy 0.0000 0.0000 0.3321  6 O 2.24-2.31
2 Dy 0.5000 0.5000 0.8321  6 O 2.24-2.31
3 Dy 0.5000 0.5000 0.1679  6 O 2.24-2.31
4 Dy 0.0000 0.0000 0.6679  6 O 2.24-2.31
5 Mo 0.0000 0.0000 0.0000  6 O 1.96
6 Mo 0.5000 0.5000 0.5000  6 O 1.96
7 O 0.3154 0.3154 0.3541  1 Mo 1.96
8 O 0.6846 0.6846 0.3541  1 Mo 1.96
9 O 0.1846 0.8154 0.8541  1 Mo 1.96
10 O 0.8154 0.1846 0.8541  1 Mo 1.96
11 O 0.1846 0.8154 0.1459  1 Mo 1.96
12 O 0.8154 0.1846 0.1459  1 Mo 1.96
13 O 0.3154 0.3154 0.6459  1 Mo 1.96
14 O 0.6846 0.6846 0.6459  1 Mo 1.96
15 O 0.2762 0.2762 0.0000  1 Mo 1.96
16 O 0.7238 0.7238 0.0000  1 Mo 1.96
17 O 0.2238 0.7762 0.5000  1 Mo 1.96
18 O 0.7762 0.2238 0.5000  1 Mo 1.96